# 1
# CaY2Cl

Crystalline CaY2Cl at its relaxed geometry (PBE-GGA, Alexandria).

Unit cell a=5.6962 b=5.6962 c=5.6962 alpha=60.00 beta=60.00 gamma=60.00
Positions (direct):
Y (0.0000, 0.0000, 0.0000)
Y (0.2500, 0.2500, 0.2500)
Cl (0.7500, 0.7500, 0.7500)
Ca (0.5000, 0.5000, 0.5000)

## Properties
As for the total magnetization: 0.0 Bohr magnetons per cell. The total energy is -4.068 eV per atom. Its formation energy from raw total energies is 0.5 eV/f.u. The space group is F-43m, No. 216. For the relative energy among the computed polymorphs, the calculation gives 0.856 eV/atom.



# 2
# ZnCuNi2

Crystalline ZnCuNi2 at its relaxed geometry (PBE-GGA, Alexandria).

Unit cell a=3.5054 b=2.5764 c=5.6502 alpha=65.27 beta=90.00 gamma=90.00
Positions (direct):
Ni (0.0000, 0.0032, 0.9974)
Ni (0.0000, 0.4968, 0.5026)
Zn (0.5000, 0.2500, 0.2500)
Cu (0.5000, 0.7500, 0.7500)

## Properties
As for the total magnetization: 0.0 Bohr magnetons per cell. The total energy is -4.335 eV per atom. The space group is P2/m, No. 10. Its formation energy is -0.102 eV per atom.



# 3
# MgPd5

Crystalline MgPd5 at its relaxed geometry (PBE-GGA, Alexandria).

Unit cell a=4.8521 b=4.8521 c=4.5783 alpha=90.00 beta=90.00 gamma=120.00
Positions (direct):
Pd (0.6667, 0.3333, 0.5000)
Pd (0.0000, 0.6641, 0.0000)
Pd (0.3359, 0.3359, 0.0000)
Pd (0.3333, 0.6667, 0.5000)
Pd (0.6641, 0.0000, 0.0000)
Mg (0.0000, 0.0000, 0.5000)

## Properties
As for the total magnetization: 0.0 Bohr magnetons per cell. The total energy is -4.915 eV per atom. The space group is P-62m, No. 189. Its formation energy is -0.322 eV per atom.



# 4
# TmCo6Ge4

Crystalline TmCo6Ge4 at its relaxed geometry (PBE-GGA, Alexandria).

Unit cell a=3.6760 b=6.7813 c=6.7813 alpha=120.00 beta=90.00 gamma=90.00
Positions (direct):
Ge (0.5000, 0.8060, 0.1940)
Ge (0.5000, 0.3880, 0.1940)
Ge (0.0000, 0.3333, 0.6667)
Ge (0.5000, 0.8060, 0.6120)
Co (0.0000, 0.5350, 0.0701)
Co (0.5000, 0.2051, 0.4103)
Co (0.5000, 0.2051, 0.7949)
Co (0.0000, 0.5350, 0.4650)
Co (0.0000, 0.9299, 0.4650)
Co (0.5000, 0.5897, 0.7949)
Tm (0.0000, 0.0000, 0.0000)

## Properties
As for the total magnetization: 0.0 Bohr magnetons per cell. The total energy is -6.332 eV per atom. The space group is P-6m2, No. 187. Its formation energy is -0.371 eV per atom.



# 5
# LaY2AgN

Crystalline LaY2AgN at its relaxed geometry (PBE-GGA, Alexandria).

Unit cell a=4.7985 b=4.7985 c=5.1467 alpha=90.00 beta=90.00 gamma=90.00
Positions (direct):
Y (0.0000, 0.5000, 0.0000)
Y (0.5000, 0.0000, 0.0000)
La (0.0000, 0.0000, 0.5000)
N (0.0000, 0.0000, 0.0000)
Ag (0.5000, 0.5000, 0.5000)

## Properties
As for the total magnetization: 0.0 Bohr magnetons per cell. The total energy is -6.498 eV per atom. Its formation energy from raw total energies is -3.5 eV/f.u. The space group is P4/mmm, No. 123.



# 6
# CaMgBe4

Crystalline CaMgBe4 at its relaxed geometry (PBE-GGA, Alexandria).

Unit cell a=4.8976 b=4.8976 c=4.8976 alpha=60.00 beta=60.00 gamma=60.00
Positions (direct):
Be (0.3754, 0.3754, 0.3754)
Be (0.3754, 0.8737, 0.3754)
Be (0.3754, 0.3754, 0.8737)
Be (0.8737, 0.3754, 0.3754)
Ca (0.7500, 0.7500, 0.7500)
Mg (0.0000, 0.0000, 0.0000)

## Properties
As for the total magnetization: 0.0 Bohr magnetons per cell. The total energy is -2.833 eV per atom. The space group is F-43m, No. 216. Its formation energy is 0.251 eV per atom.



# 7
# In2FeHgSb

Crystalline In2FeHgSb at its relaxed geometry (PBE-GGA, Alexandria).

Unit cell a=5.1144 b=5.1144 c=4.8401 alpha=90.00 beta=90.00 gamma=90.00
Each line ends with the local moment (μB).
Positions (direct):
Fe (0.0000, 0.0000, 0.0000)  1.04
Hg (0.5000, 0.5000, 0.5000)  0.00
In (0.0000, 0.5000, 0.0000)  -0.03
In (0.5000, 0.0000, 0.0000)  -0.03
Sb (0.0000, 0.0000, 0.5000)  0.01

## Properties
As for the total magnetization: 1.0 Bohr magnetons per cell. The total energy is -3.564 eV per atom. Its formation energy from raw total energies is 0.5 eV/f.u. The space group is P4/mmm, No. 123.



# 8
# CrHgPt2Rh

Crystalline CrHgPt2Rh at its relaxed geometry (PBE-GGA, Alexandria).

Unit cell a=4.6517 b=4.4447 c=4.6517 alpha=90.00 beta=90.00 gamma=90.00
Positions (direct):
Pt (0.5000, 0.0000, 0.0000)
Pt (0.0000, 0.0000, 0.5000)
Cr (0.0000, 0.0000, 0.0000)
Rh (0.0000, 0.5000, 0.0000)
Hg (0.5000, 0.5000, 0.5000)

## Properties
As for the total magnetization: 0.0 Bohr magnetons per cell. The total energy is -5.070 eV per atom. The space group is P4/mmm, No. 123. Its formation energy is 0.801 eV per atom.



# 9
# CoRh5

Crystalline CoRh5 at its relaxed geometry (PBE-GGA, Alexandria).

Unit cell a=5.0472 b=5.0472 c=5.0472 alpha=60.00 beta=60.00 gamma=60.00
Each line ends with the local moment (μB).
Positions (direct):
Rh (0.3749, 0.8752, 0.3749)  0.56
Rh (0.8752, 0.3749, 0.3749)  0.56
Rh (0.3749, 0.3749, 0.8752)  0.56
Rh (0.7500, 0.7500, 0.7500)  0.92
Rh (0.3749, 0.3749, 0.3749)  0.56
Co (0.0000, 0.0000, 0.0000)  2.16

## Properties
As for the total magnetization: 5.2 Bohr magnetons per cell. The total energy is -6.787 eV per atom. The space group is F-43m, No. 216. Its formation energy is 0.523 eV per atom.



# 10
# KTe2Pd6

Crystalline KTe2Pd6 at its relaxed geometry (PBE-GGA, Alexandria).

Unit cell a=4.6064 b=4.6064 c=9.3264 alpha=90.00 beta=90.00 gamma=90.00
Positions (direct):
K (0.0000, 0.0000, 0.0000)
Te (0.5000, 0.5000, 0.1976)
Te (0.5000, 0.5000, 0.8024)
Pd (0.0000, 0.0000, 0.5000)
Pd (0.0000, 0.5000, 0.3327)
Pd (0.5000, 0.0000, 0.3327)
Pd (0.5000, 0.0000, 0.6673)
Pd (0.0000, 0.5000, 0.6673)
Pd (0.5000, 0.5000, 0.5000)

## Properties
As for the total magnetization: 0.0 Bohr magnetons per cell. The total energy is -4.588 eV per atom. Its formation energy from raw total energies is -2.8 eV/f.u. The space group is P4/mmm, No. 123.



# 11
# ScCoN2

Crystalline ScCoN2 at its relaxed geometry (PBE-GGA, Alexandria).

Unit cell a=4.4653 b=4.4653 c=5.6978 alpha=66.93 beta=66.93 gamma=90.00
Positions (direct):
Co (0.0000, 0.0000, 0.0000)
Co (0.7500, 0.2500, 0.5000)
N (0.8750, 0.9247, 0.7500)
N (0.0753, 0.6250, 0.2500)
N (0.6747, 0.1250, 0.2500)
N (0.3750, 0.3253, 0.7500)
Sc (0.2500, 0.7500, 0.5000)
Sc (0.5000, 0.5000, 0.0000)

## Properties
As for the total magnetization: 0.0 Bohr magnetons per cell. The total energy is -8.087 eV per atom. Its formation energy from raw total energies is -2.3 eV/f.u. The space group is I-42d, No. 122.



# 12
# PmPrAlPt

Crystalline PmPrAlPt at its relaxed geometry (PBE-GGA, Alexandria).

Unit cell a=5.2108 b=5.2108 c=5.2108 alpha=60.00 beta=60.00 gamma=60.00
Positions (direct):
Al (0.2500, 0.2500, 0.2500)
Pr (0.5000, 0.5000, 0.5000)
Pm (0.0000, 0.0000, 0.0000)
Pt (0.7500, 0.7500, 0.7500)

## Properties
As for the total magnetization: 0.0 Bohr magnetons per cell. The total energy is -5.416 eV per atom. The space group is F-43m, No. 216. Its formation energy is -0.588 eV per atom.



Which formula does entry 10 have?
KTe2Pd6



Look up the total magnetization of the seventh one.
1.0 Bohr magnetons per cell



total magnetization of number 9 (CoRh5)?
5.2 Bohr magnetons per cell